VASP calculation (GGA-PBE) on a relaxed structure of Zn2MoRh.

Calculated values
The calculation puts the uncorrected energy at -62.75 eV for the cell shown. The calculated formation energy is -0.19 eV/f.u.

The structure in CIF format:
```
data_Zn2MoRh
_chemical_formula_sum 'Zn6 Mo3 Rh3'
_cell_length_a 2.7838
_cell_length_b 2.7838
_cell_length_c 26.8924
_cell_angle_alpha 90.00
_cell_angle_beta 90.00
_cell_angle_gamma 120.00
_space_group_name_H-M_alt 'R 3 m'
_space_group_IT_number 160
_space_group_name_Hall 'R 3 -2"'
loop_
_atom_site_label
_atom_site_type_symbol
_atom_site_fract_x
_atom_site_fract_y
_atom_site_fract_z
Zn1 Zn 0.0000 0.0000 0.0000
Zn2 Zn 0.0000 0.0000 0.2447
Mo1 Mo 0.0000 0.0000 0.7520
Rh1 Rh 0.0000 0.0000 0.4971
```